First-principles (PBE-GGA) data for a relaxed CsLiSe2 crystal, as listed in the Alexandria database.

Results
The distance to the lowest polymorph of the same formula is 58.8 kJ per mole of atoms. As for the uncorrected formation energy: -310 meV per atom.

abc: 5.6310 5.6310 5.6310
angles: 60.00 60.00 60.00
Last column: magnetic moment on the atom in μB.
Fractional coordinates of all 4 atoms:
1 Se 0.2500 0.2500 0.2500  0.61
2 Se 0.7500 0.7500 0.7500  0.61
3 Li 0.0000 0.0000 0.0000  -0.01
4 Cs 0.5000 0.5000 0.5000  0.04

First-principles (PBE-GGA) data for a relaxed Rb3RuCl6 crystal, as listed in the Alexandria database.

Results
The distance to the lowest polymorph of the same formula is 0.0 kJ per mole of atoms. As for the uncorrected formation energy: -1374 meV per atom.

abc: 7.5588 7.8147 10.8286
angles: 90.00 90.99 90.00
Last column: magnetic moment on the atom in μB.
Fractional coordinates of all 20 atoms:
1 Cl 0.8409 0.7423 0.9515  0.02
2 Cl 0.7588 0.6667 0.5460  0.02
3 Cl 0.7412 0.1667 0.9540  0.02
4 Cl 0.6591 0.2423 0.5485  0.02
5 Ru 0.0000 0.0000 0.0000  0.79
6 Cl 0.3409 0.7577 0.4515  0.02
7 Rb 0.4805 0.0659 0.2544  0.00
8 Rb 0.0000 0.0000 0.5000  0.00
9 Cl 0.5891 0.4784 0.2898  0.02
10 Rb 0.9805 0.4341 0.7544  0.00
11 Cl 0.2412 0.3333 0.4540  0.02
12 Cl 0.4109 0.5216 0.7102  0.02
13 Cl 0.1591 0.2577 0.0485  0.02
14 Rb 0.0195 0.5659 0.2456  0.00
15 Cl 0.0891 0.0216 0.7898  0.02
16 Rb 0.5000 0.5000 0.0000  0.00
17 Cl 0.2588 0.8333 0.0460  0.02
18 Cl 0.9109 0.9784 0.2102  0.02
19 Rb 0.5195 0.9341 0.7456  0.00
20 Ru 0.5000 0.5000 0.5000  0.79

First-principles (PBE-GGA) data for a relaxed PrDy3Pt crystal, as listed in the Alexandria database.

Results
The distance to the lowest polymorph of the same formula is 0.0 kJ per mole of atoms. As for the formation enthalpy at 0 K: -0.40 eV/atom.

abc: 6.1358 7.6285 7.6298
angles: 120.00 90.00 90.00
Fractional coordinates of all 10 atoms:
1 Pt 0.5000 0.0000 0.0000
2 Dy 0.7500 0.1793 0.8207
3 Dy 0.2500 0.8207 0.6414
4 Dy 0.7500 0.6414 0.8207
5 Pr 0.2500 0.3332 0.6666
6 Pr 0.7500 0.6668 0.3334
7 Dy 0.2500 0.3586 0.1793
8 Pt 0.0000 0.0000 0.0000
9 Dy 0.7500 0.1793 0.3586
10 Dy 0.2500 0.8207 0.1793

First-principles (PBE-GGA) data for a relaxed MgGa5Ag6 crystal, as listed in the Alexandria database.

Results
The distance to the lowest polymorph of the same formula is 0.0 kJ per mole of atoms. As for the formation enthalpy at 0 K: -0.04 eV/atom.

abc: 5.4174 6.3602 6.3602
angles: 86.05 98.51 98.51
Fractional coordinates of all 12 atoms:
1 Ag 0.2531 0.7522 0.7522
2 Ga 0.0000 0.3398 0.6602
3 Ga 0.5000 0.1689 0.8311
4 Ag 0.7511 0.9180 0.5829
5 Mg 0.0000 0.0000 0.0000
6 Ag 0.7511 0.5829 0.9180
7 Ga 0.5000 0.8311 0.1689
8 Ga 0.5000 0.5000 0.5000
9 Ag 0.2489 0.4171 0.0820
10 Ga 0.0000 0.6602 0.3398
11 Ag 0.2489 0.0820 0.4171
12 Ag 0.7469 0.2478 0.2478

First-principles (PBE-GGA) data for a relaxed ScSi2OsRu crystal, as listed in the Alexandria database.

Results
As for the uncorrected formation energy: -716 meV per atom.

abc: 4.1369 4.1369 5.5098
angles: 112.05 112.05 90.00
Fractional coordinates of all 5 atoms:
1 Si 0.3730 0.3730 0.7459
2 Ru 0.2500 0.7500 0.5000
3 Sc 0.0000 0.0000 0.0000
4 Si 0.6270 0.6270 0.2541
5 Os 0.7500 0.2500 0.5000

First-principles (PBE-GGA) data for a relaxed Ni2Pd2W crystal, as listed in the Alexandria database.

Results
As for the formation enthalpy at 0 K: 0.01 eV/atom.

abc: 2.7247 4.7550 6.5674
angles: 121.38 89.96 73.36
Fractional coordinates of all 5 atoms:
1 Ni 0.1088 0.2829 0.1071
2 Ni 0.8912 0.7171 0.8929
3 Pd 0.6861 0.1283 0.7175
4 Pd 0.3139 0.8717 0.2825
5 W 0.5000 0.5000 0.5000

| no. | magnetization (μB/f.u.) | density (g cm⁻³) |
| --- | --- | --- |
| 1 | 2.01 | 3.92 |
| 2 | 1.00 | 2.96 |
| 3 | 0.00 | 8.84 |
| 4 | 0.00 | 7.91 |
| 5 | 0.00 | 8.15 |
| 6 | 0.01 | 12.48 |